# 1
ErMgPd | PBE | optimized geometry Values from VASP.

Cell and atoms, written as Quantum ESPRESSO input:
```
&SYSTEM
  ibrav = 0, nat = 3, ntyp = 3
/
ATOMIC_SPECIES
Er 167.26 Er.upf
Pd 106.42 Pd.upf
Mg 24.30 Mg.upf
ATOMIC_POSITIONS crystal
Er 0.667 0.667 0.333
Pd 0.166 0.333 0.667
Mg 0.167 0.000 0.000
CELL_PARAMETERS angstrom
-0.718 -0.633 -3.411
1.896 -4.182 0.377
-4.494 0.576 0.839
```

Computed properties:
mass density = 7.60 g cm⁻³
V = 21.7 Å³/atom
formation enthalpy at 0 K = -47.4 kJ/mol of atoms
space-group type = No. 187
Fermi-level density of states = 2.31 states/eV/f.u.
VASP energy = -4.275 eV per atom

=====

# 2
Rb2LaReI6 | PBE | optimized geometry Values from VASP.

Cell and atoms, written as Quantum ESPRESSO input:
```
&SYSTEM
  ibrav = 0, nat = 10, ntyp = 4
/
ATOMIC_SPECIES
I 126.90 I.upf
Rb 85.47 Rb.upf
Re 186.21 Re.upf
La 138.91 La.upf
ATOMIC_POSITIONS crystal
I 0.233 0.233 0.533
Rb 0.250 0.750 0.500
Rb 0.750 0.250 0.500
I 0.767 0.233 0.000
I 0.233 0.767 0.000
I 0.767 0.767 0.000
I 0.233 0.233 0.000
Re 0.000 0.000 0.000
La 0.500 0.500 0.000
I 0.767 0.767 0.467
CELL_PARAMETERS angstrom
-7.775 2.694 -1.199
0.782 -1.376 -8.164
-5.508 -4.818 -3.950
```

Computed properties:
mass density = 5.14 g cm⁻³
V = 40.7 Å³/atom
space-group type = No. 225
ΔE_f (raw) = -7.4 eV/f.u.
Fermi-level density of states = 0.00 states/eV/f.u.
VASP energy = -3.600 eV per atom

=====

# 3
KCaIn2Pd | PBE | optimized geometry Values from VASP.

Cell and atoms, written as Quantum ESPRESSO input:
```
&SYSTEM
  ibrav = 0, nat = 5, ntyp = 4
/
ATOMIC_SPECIES
Ca 40.08 Ca.upf
In 114.82 In.upf
K 39.10 K.upf
Pd 106.42 Pd.upf
ATOMIC_POSITIONS crystal
Ca 0.000 0.000 0.500
In 0.000 0.500 0.000
K 0.500 0.500 0.500
Pd 0.000 0.000 0.000
In 0.500 0.000 0.000
CELL_PARAMETERS angstrom
-4.905 1.852 -1.011
0.942 -0.367 -5.243
-1.927 -5.099 0.011
```

Computed properties:
mass density = 4.44 g cm⁻³
V = 31.1 Å³/atom
formation enthalpy at 0 K = -27.6 kJ/mol of atoms
space-group type = No. 123
Fermi-level density of states = 3.59 states/eV/f.u.
VASP energy = -3.040 eV per atom

=====

# 4
ZrCdSe2 | PBE | optimized geometry Values from VASP.

Cell and atoms, written as Quantum ESPRESSO input:
```
&SYSTEM
  ibrav = 0, nat = 4, ntyp = 3
/
ATOMIC_SPECIES
Se 78.96 Se.upf
Zr 91.22 Zr.upf
Cd 112.41 Cd.upf
ATOMIC_POSITIONS crystal
Se 0.968 0.968 0.000
Se 0.697 0.197 0.500
Zr 0.545 0.545 0.000
Cd 0.291 0.791 0.500
CELL_PARAMETERS angstrom
-5.200 4.758 -1.557
-3.487 2.381 -5.854
2.502 -5.352 4.147
```

Computed properties:
mass density = 6.60 g cm⁻³
V = 22.7 Å³/atom
space-group type = No. 44
ΔE_f (raw) = -3.0 eV/f.u.
Fermi-level density of states = 1.88 states/eV/f.u.
VASP energy = -4.859 eV per atom